[1]
Computed, not measured: a crystal of CrInCu2 relaxed with PBEsol at the SCAN level of DFT.

Geometry as POSCAR:
```
CrInCu2
1.0
3.923 0.000 0.000
0.000 3.919 0.000
-1.961 -1.960 3.753
Cr Cu In
1 2 1
direct
0.250 0.750 0.500 Cr
0.000 0.000 0.000 Cu
0.750 0.250 0.500 Cu
0.500 0.500 0.000 In
```

- calculated formation energy (eV per atom) = 0.10
- space-group type = I-4m2
- DOS(E_F) (states/eV/f.u.) = 1.5
- crystal system = tetragonal



[2]
Computed, not measured: a crystal of Cu2Re3S6 relaxed with PBEsol at the SCAN level of DFT.

Geometry as POSCAR:
```
Cu2Re3S6
1.0
-0.319 9.203 -0.083
-7.929 3.995 -2.445
-3.452 0.096 10.913
Cu Re S
8 12 24
direct
0.569 0.431 0.750 Cu
0.431 0.569 0.250 Cu
0.967 0.033 0.750 Cu
0.033 0.967 0.250 Cu
0.690 0.200 0.907 Cu
0.800 0.310 0.593 Cu
0.310 0.800 0.093 Cu
0.200 0.690 0.407 Cu
0.296 0.024 0.534 Re
0.976 0.704 0.966 Re
0.704 0.976 0.466 Re
0.024 0.296 0.034 Re
0.488 0.119 0.632 Re
0.881 0.512 0.868 Re
0.512 0.881 0.368 Re
0.119 0.488 0.132 Re
0.595 0.806 0.587 Re
0.194 0.405 0.913 Re
0.405 0.194 0.413 Re
0.806 0.595 0.087 Re
0.075 0.018 0.069 S
0.982 0.925 0.431 S
0.925 0.982 0.931 S
0.018 0.075 0.569 S
0.238 0.084 0.330 S
0.916 0.762 0.170 S
0.762 0.916 0.670 S
0.084 0.238 0.830 S
0.693 0.785 0.928 S
0.215 0.307 0.572 S
0.307 0.215 0.072 S
0.785 0.693 0.428 S
0.610 0.050 0.269 S
0.950 0.390 0.231 S
0.390 0.950 0.731 S
0.050 0.610 0.769 S
0.599 0.262 0.511 S
0.738 0.401 0.989 S
0.401 0.738 0.489 S
0.262 0.599 0.011 S
0.461 0.280 0.808 S
0.720 0.539 0.692 S
0.539 0.720 0.192 S
0.280 0.461 0.308 S
```

- formation energy (no corrections) (eV per atom) = -0.429
- space-group type = C2/c
- crystal system = monoclinic



- Which formula does entry 1 have?
  CrInCu2